Computed, not measured: YFe2Hg after structural relaxation at the PBE-GGA level of DFT.

The structure in POSCAR format:
```
YFe2Hg
1.0
-0.7217 5.4791 -2.2413
-1.2575 2.7395 -5.1457
-4.1909 3.4451 -2.4764
Fe Y Hg
2 1 1
direct
0.9518 0.9518 0.9518 Fe
0.2861 0.2861 0.2861 Fe
0.7336 0.7336 0.7336 Y
0.5285 0.5285 0.5285 Hg
```

Energy of formation from the pure elements (eV/atom): 0.0569

***

Computed, not measured: YFeHg after structural relaxation at the PBE-GGA level of DFT.

The structure in POSCAR format:
```
YFeHg
1.0
-1.4878 2.6029 -3.7643
-0.3966 -2.0491 -4.3362
-4.3506 -0.7868 -1.9006
Hg Fe Y
1 1 1
direct
0.5000 0.5000 0.5000 Hg
0.0000 0.0000 0.0000 Fe
0.7500 0.7500 0.7500 Y
```

Energy of formation from the pure elements (eV/atom): 0.6630

***

Computed, not measured: YFeHg after structural relaxation at the PBE-GGA level of DFT.

The structure in POSCAR format:
```
YFeHg
1.0
5.6326 -0.0788 0.0869
4.5814 3.2781 0.0991
1.0516 0.3173 3.3418
Y Hg Fe
1 1 1
direct
0.6574 0.6575 0.3426 Y
0.3532 0.3533 0.6468 Hg
0.9894 0.9892 0.0106 Fe
```

Energy of formation from the pure elements (eV/atom): 0.0393

***

Computed, not measured: YFeHg after structural relaxation at the PBE-GGA level of DFT.

The structure in POSCAR format:
```
YFeHg
1.0
-3.1892 0.0665 3.2751
3.8713 -2.3499 0.6265
1.5489 2.9378 1.4485
Fe Hg Y
1 1 1
direct
0.0000 0.0000 0.1666 Fe
0.6667 0.3333 0.1666 Hg
0.3333 0.6667 0.6668 Y
```

Energy of formation from the pure elements (eV/atom): 0.0280

***

Computed, not measured: YZnFe2Hg after structural relaxation at the PBE-GGA level of DFT.

The structure in POSCAR format:
```
YZnFe2Hg
1.0
-0.6256 -4.5333 0.6624
4.2161 -0.2362 2.3650
-2.1829 0.8828 3.9795
Fe Y Hg Zn
2 1 1 1
direct
0.0000 0.0000 0.5000 Fe
0.5000 0.0000 0.0000 Fe
0.5000 0.5000 0.5000 Y
0.0000 0.5000 0.0000 Hg
0.0000 0.0000 0.0000 Zn
```

Energy of formation from the pure elements (eV/atom): 0.5593

***

Computed, not measured: ZnFe2Hg after structural relaxation at the PBE-GGA level of DFT.

The structure in POSCAR format:
```
ZnFe2Hg
1.0
-2.2430 2.9184 1.3289
-1.0475 -1.6727 1.9054
2.9760 -0.1501 5.3530
Fe Zn Hg
2 1 1
direct
0.0000 0.0262 0.9701 Fe
0.0000 0.4738 0.5299 Fe
0.5000 0.7500 0.7500 Zn
0.5000 0.2500 0.2500 Hg
```

Energy of formation from the pure elements (eV/atom): 0.2676

***

Computed, not measured: ZnFe3Hg after structural relaxation at the PBE-GGA level of DFT.

The structure in POSCAR format:
```
ZnFe3Hg
1.0
4.4469 0.0000 0.0000
0.0000 4.4469 0.0000
0.0000 0.0000 4.4469
Fe Zn Hg
3 1 1
direct
0.0000 0.5000 0.0000 Fe
0.0000 0.0000 0.5000 Fe
0.5000 0.0000 0.0000 Fe
0.0000 0.0000 0.0000 Zn
0.5000 0.5000 0.5000 Hg
```

Energy of formation from the pure elements (eV/atom): 1.0463
E above lowest polymorph (meV/atom): 0

***

Computed, not measured: Zn2FeHg after structural relaxation at the PBE-GGA level of DFT.

The structure in POSCAR format:
```
Zn2FeHg
1.0
-2.4169 0.0165 -1.4302
-1.2229 -1.4867 2.0449
-2.1768 6.9609 3.7592
Zn Fe Hg
2 1 1
direct
0.0000 0.0000 0.0443 Zn
0.0000 0.0000 0.4557 Zn
0.5000 0.5000 0.2500 Fe
0.5000 0.5000 0.7500 Hg
```

Energy of formation from the pure elements (eV/atom): 0.1486

***

Computed, not measured: ZnFeHg after structural relaxation at the PBE-GGA level of DFT.

The structure in POSCAR format:
```
ZnFeHg
1.0
-0.0149 -1.8298 -2.2602
-1.6970 -0.5206 2.3035
-5.0176 3.6017 -2.8827
Fe Zn Hg
1 1 1
direct
0.0000 0.0000 0.9843 Fe
0.3333 0.6667 0.6941 Zn
0.6667 0.3333 0.3217 Hg
```

Energy of formation from the pure elements (eV/atom): 0.3414
E above lowest polymorph (meV/atom): 71

***

Computed, not measured: ZnFe2Hg after structural relaxation at the PBE-GGA level of DFT.

The structure in POSCAR format:
```
ZnFe2Hg
1.0
-1.5773 0.2837 4.4315
-2.7083 -3.7705 0.8092
4.3672 0.3349 -1.7385
Zn Hg Fe
1 1 2
direct
0.7500 0.2500 0.5000 Zn
0.5000 0.5000 0.0000 Hg
0.2500 0.7500 0.5000 Fe
0.0000 0.0000 0.0000 Fe
```

Energy of formation from the pure elements (eV/atom): 0.3099

***

Computed, not measured: Zn2FeHg after structural relaxation at the PBE-GGA level of DFT.

The structure in POSCAR format:
```
Zn2FeHg
1.0
-6.0015 -1.6185 1.5942
-2.7120 -1.9579 5.4764
3.2488 4.0753 -3.7439
Zn Hg Fe
2 1 1
direct
0.6803 0.1803 0.5000 Zn
0.0158 0.0158 0.0000 Zn
0.3011 0.8011 0.5000 Hg
0.5028 0.5028 0.0000 Fe
```

Energy of formation from the pure elements (eV/atom): 0.2177

***

Computed, not measured: ZnFeHg after structural relaxation at the PBE-GGA level of DFT.

The structure in POSCAR format:
```
ZnFeHg
1.0
6.1874 -0.0718 0.0755
5.5456 2.7459 0.0789
0.6418 0.1445 2.8139
Hg Fe Zn
1 1 1
direct
0.3389 0.3389 0.6611 Hg
0.0111 0.0111 0.9889 Fe
0.6499 0.6499 0.3501 Zn
```

Energy of formation from the pure elements (eV/atom): 0.2707
E above lowest polymorph (meV/atom): 0

***

Computed, not measured: ZnFe2Hg after structural relaxation at the PBE-GGA level of DFT.

The structure in POSCAR format:
```
ZnFe2Hg
1.0
2.7586 -0.0258 0.0000
-0.7148 2.6645 0.0000
0.0000 0.0000 8.4065
Hg Zn Fe
1 1 2
direct
0.0000 0.0000 0.4875 Hg
0.5000 0.5000 0.7853 Zn
0.5000 0.5000 0.2160 Fe
0.0000 0.0000 0.0112 Fe
```

Energy of formation from the pure elements (eV/atom): 0.2738

***

Computed, not measured: Zn2FeHg after structural relaxation at the PBE-GGA level of DFT.

The structure in POSCAR format:
```
Zn2FeHg
1.0
-0.8848 1.2939 2.4661
1.0930 -2.2186 1.5562
6.5177 3.5461 0.4779
Fe Hg Zn
1 1 2
direct
0.0000 0.0000 0.4737 Fe
0.5000 0.5000 0.7394 Hg
0.0000 0.0000 0.0276 Zn
0.5000 0.5000 0.2594 Zn
```

Energy of formation from the pure elements (eV/atom): 0.2228

***

Computed, not measured: ZnFeHg4 after structural relaxation at the PBE-GGA level of DFT.

The structure in POSCAR format:
```
ZnFeHg4
1.0
0.0000 4.1495 4.1495
4.1495 0.0000 4.1495
4.1495 4.1495 0.0000
Fe Hg Zn
1 4 1
direct
0.0000 0.0000 0.0000 Fe
0.3747 0.8759 0.3747 Hg
0.3747 0.3747 0.8759 Hg
0.3747 0.3747 0.3747 Hg
0.8759 0.3747 0.3747 Hg
0.7500 0.7500 0.7500 Zn
```

Energy of formation from the pure elements (eV/atom): 0.6754

***

Computed, not measured: Zn2FeHg after structural relaxation at the PBE-GGA level of DFT.

The structure in POSCAR format:
```
Zn2FeHg
1.0
3.8641 0.0000 0.0000
0.0000 3.8641 0.0000
1.9320 1.9320 8.9960
Hg Zn Fe
2 4 2
direct
0.0000 0.0000 0.0000 Hg
0.7500 0.2500 0.5000 Hg
0.1684 0.6250 0.2500 Zn
0.8750 0.8316 0.7500 Zn
0.5816 0.1250 0.2500 Zn
0.3750 0.4184 0.7500 Zn
0.5000 0.5000 0.0000 Fe
0.2500 0.7500 0.5000 Fe
```

Energy of formation from the pure elements (eV/atom): 0.5387

***

Computed, not measured: Zn2FeHg after structural relaxation at the PBE-GGA level of DFT.

The structure in POSCAR format:
```
Zn2FeHg
1.0
-4.3512 0.9216 0.4177
-2.5158 -2.3436 2.8522
-1.5276 1.9234 3.7314
Fe Zn Hg
1 2 1
direct
0.5000 0.5000 0.5000 Fe
0.0000 0.0000 0.0000 Zn
0.2500 0.2500 0.2500 Zn
0.7500 0.7500 0.7500 Hg
```

Energy of formation from the pure elements (eV/atom): 0.3094

***

Computed, not measured: Zn2FeHg2 after structural relaxation at the PBE-GGA level of DFT.

The structure in POSCAR format:
```
Zn2FeHg2
1.0
7.3632 0.0000 0.0000
0.0000 7.3632 0.0000
0.0000 0.0000 3.5060
Hg Zn Fe
4 4 2
direct
0.1549 0.3451 0.0000 Hg
0.8451 0.6549 0.0000 Hg
0.6549 0.1549 0.0000 Hg
0.3451 0.8451 0.0000 Hg
0.3505 0.1495 0.5000 Zn
0.6495 0.8505 0.5000 Zn
0.1495 0.6495 0.5000 Zn
0.8505 0.3505 0.5000 Zn
0.5000 0.5000 0.0000 Fe
0.0000 0.0000 0.0000 Fe
```

Energy of formation from the pure elements (eV/atom): 0.4637
E above lowest polymorph (meV/atom): 81

***

Computed, not measured: ZnFe2Hg after structural relaxation at the PBE-GGA level of DFT.

The structure in POSCAR format:
```
ZnFe2Hg
1.0
-0.3484 -0.1377 -4.8138
0.1171 -4.4131 1.9553
-2.7397 0.0019 0.1896
Fe Zn Hg
2 1 1
direct
0.0000 0.0000 0.0000 Fe
0.5000 0.5000 0.0000 Fe
0.0000 0.5000 0.5000 Zn
0.5000 0.0000 0.5000 Hg
```

Energy of formation from the pure elements (eV/atom): 0.3077

***

Computed, not measured: ZnFe2Hg after structural relaxation at the PBE-GGA level of DFT.

The structure in POSCAR format:
```
ZnFe2Hg
1.0
-2.7750 0.3368 -1.2560
-0.6097 -2.9481 0.5566
-2.4004 1.5776 5.7266
Zn Hg Fe
1 1 2
direct
0.5000 0.5000 0.7913 Zn
0.0000 0.0000 0.4891 Hg
0.0000 0.0000 0.0218 Fe
0.5000 0.5000 0.1978 Fe
```

Energy of formation from the pure elements (eV/atom): 0.1986